A geometry-optimized Ac3La6Sm structure. Source: Alexandria, functional PBE.

Unit cell a=7.4062 b=7.4062 c=7.4062 alpha=88.72 beta=88.72 gamma=88.72
Atoms (fractional coordinates):
Ac1 0.0000 0.0000 0.0000
Ac2 0.2570 0.2570 0.2570
Ac3 0.7422 0.7422 0.7422
La1 0.0889 0.4252 0.7487
La2 0.2503 0.9122 0.5760
La3 0.4252 0.7487 0.0889
La4 0.5760 0.2503 0.9122
La5 0.7487 0.0889 0.4252
La6 0.9122 0.5760 0.2503
Sm1 0.5000 0.5000 0.5000

Results
Its magnetic moment is 0.00 μB/f.u. Its symmetry is R3, No. 146. The formation energy is 273 kJ/mol of formula units.

A geometry-optimized Al2AgW structure. Source: Alexandria, functional PBE.

Unit cell a=3.3358 b=3.3358 c=5.7979 alpha=90.00 beta=90.00 gamma=90.00
Atoms (fractional coordinates):
Al1 0.0000 0.0000 0.0000
Al2 0.5000 0.5000 0.2655
Ag1 0.5000 0.5000 0.7737
W1 0.0000 0.0000 0.4738

Results
Its magnetic moment is 0.00 μB/f.u. Its symmetry is P4mm, No. 99. The formation energy is 108 kJ/mol of formula units. The calculation puts the offset from the most stable computed form at 1.08 eV/f.u.

A geometry-optimized Dy2Ho2Ga structure. Source: Alexandria, functional PBE.

Unit cell a=9.2038 b=9.2038 c=9.2038 alpha=153.66 beta=153.66 gamma=37.60
Atoms (fractional coordinates):
Dy1 0.0873 0.0873 0.0000
Dy2 0.9127 0.9127 0.0000
Ho1 0.2500 0.7500 0.5000
Ho2 0.7500 0.2500 0.5000
Ga1 0.5000 0.5000 0.0000

Results
Its magnetic moment is 0.00 μB/f.u. Its symmetry is I4/mmm, No. 139. The formation energy is 157 kJ/mol of formula units.